*A*
The following is a PBE-GGA calculation of a relaxed structure of RbHg5Au, from Alexandria via LeMat-Bulk.

abc: 5.532 7.091 7.091
angles: 60.19 67.04 67.04
Element x y z (fractional)
Rb: 0.500 0.500 0.500
Hg: 0.192 0.528 0.089
Hg: 0.192 0.089 0.528
Hg: 0.500 0.000 0.000
Hg: 0.808 0.911 0.472
Hg: 0.808 0.472 0.911
Au: 0.000 0.000 0.000

Symmetry: Immm (71)

*B*
The following is a PBE-GGA calculation of a relaxed structure of RbHg5Au, from Alexandria via LeMat-Bulk.

abc: 5.178 5.178 8.122
angles: 90.00 90.00 90.00
Element x y z (fractional)
Rb: 0.000 0.000 0.000
Hg: 0.500 0.000 0.693
Hg: 0.000 0.500 0.693
Hg: 0.500 0.500 0.000
Hg: 0.000 0.500 0.307
Hg: 0.500 0.000 0.307
Au: 0.000 0.000 0.500

Symmetry: P4/mmm (123)

Result of the stability comparison: *A* is the most stable of them.

*A*
The following is a PBE-GGA calculation of a relaxed structure of RbHg3Au2, from Alexandria via LeMat-Bulk.

abc: 9.323 9.323 7.732
angles: 52.92 52.92 60.00
Element x y z (fractional)
Rb: 0.788 0.788 0.637
Rb: 0.212 0.212 0.363
Hg: 0.280 0.764 0.192
Hg: 0.764 0.280 0.192
Hg: 0.764 0.764 0.192
Hg: 0.236 0.720 0.808
Hg: 0.720 0.236 0.808
Hg: 0.236 0.236 0.808
Au: 0.000 0.000 0.000
Au: 0.000 0.500 0.000
Au: 0.500 0.500 0.000
Au: 0.500 0.000 0.000

Symmetry: R-3m (166)

*B*
The following is a PBE-GGA calculation of a relaxed structure of RbHg3Au2, from Alexandria via LeMat-Bulk.

abc: 6.431 6.431 9.185
angles: 90.00 90.00 120.00
Element x y z (fractional)
Rb: 0.000 0.000 0.500
Rb: 0.000 0.000 0.000
Hg: 0.499 0.000 0.250
Hg: 0.000 0.501 0.750
Hg: 0.501 0.000 0.750
Hg: 0.501 0.501 0.250
Hg: 0.000 0.499 0.250
Hg: 0.499 0.499 0.750
Au: 0.667 0.333 0.500
Au: 0.333 0.667 0.000
Au: 0.333 0.667 0.500
Au: 0.667 0.333 0.000

Symmetry: P6_3/mcm (193)

Result of the stability comparison: *B* is the most stable of them.

*A*
The following is a PBE-GGA calculation of a relaxed structure of RbHg6Au2, from Alexandria via LeMat-Bulk.

abc: 4.725 10.030 10.030
angles: 60.16 49.14 49.14
Element x y z (fractional)
Rb: 0.000 0.000 0.000
Hg: 0.248 0.908 0.592
Hg: 0.752 0.092 0.408
Hg: 0.752 0.408 0.092
Hg: 0.500 0.310 0.690
Hg: 0.500 0.690 0.310
Hg: 0.248 0.592 0.908
Au: 0.100 0.305 0.305
Au: 0.900 0.695 0.695

Symmetry: C2/m (12)

*B*
The following is a PBE-GGA calculation of a relaxed structure of RbHg6Au2, from Alexandria via LeMat-Bulk.

abc: 4.995 4.995 10.370
angles: 90.00 90.00 90.00
Element x y z (fractional)
Rb: 0.000 0.000 0.000
Hg: 0.000 0.500 0.281
Hg: 0.500 0.000 0.281
Hg: 0.000 0.500 0.719
Hg: 0.500 0.000 0.719
Hg: 0.500 0.500 0.500
Hg: 0.000 0.000 0.500
Au: 0.500 0.500 0.130
Au: 0.500 0.500 0.870

Symmetry: P4/mmm (123)

Result of the stability comparison: *B* is the most stable of them.

*A*
The following is a PBE-GGA calculation of a relaxed structure of Rb3HgAu, from Alexandria via LeMat-Bulk.

abc: 6.662 6.662 6.662
angles: 90.00 90.00 90.00
Element x y z (fractional)
Au: 0.000 0.000 0.000
Hg: 0.500 0.500 0.500
Rb: 0.000 0.500 0.000
Rb: 0.000 0.000 0.500
Rb: 0.500 0.000 0.000

Symmetry: Pm-3m (221)

*B*
The following is a PBE-GGA calculation of a relaxed structure of Rb3HgAu, from Alexandria via LeMat-Bulk.

abc: 5.242 7.958 11.175
angles: 90.00 90.00 90.00
Element x y z (fractional)
Rb: 0.250 0.766 0.551
Rb: 0.250 0.240 0.750
Rb: 0.250 0.766 0.949
Rb: 0.750 0.234 0.449
Rb: 0.750 0.234 0.051
Rb: 0.750 0.760 0.250
Hg: 0.750 0.573 0.750
Hg: 0.250 0.427 0.250
Au: 0.250 0.063 0.250
Au: 0.750 0.937 0.750

Symmetry: Pmmn (59)

Result of the stability comparison: *B* is the most stable of them.